The following is a PBE-GGA calculation of crystalline MnTc2C at its relaxed geometry, from Alexandria.

Cell: 4.940 4.940 9.658 Å, 90.00 90.00 90.00°
Space group I-42d (No. 122)
Symmetry-distinct sites (fractional):
Mn 0.000 0.000 0.000
Tc 0.197 0.250 0.625
C 0.000 0.000 0.500

ΔE_f in kJ/mol of atoms: 76.4
Total magnetic moment in μB per cell: 0.00
Relative energy among the computed polymorphs in eV/atom: 0.5198

The following is a PBE-GGA calculation of crystalline MnTcC2 at its relaxed geometry, from Alexandria.

Cell: 5.180 5.180 5.180 Å, 90.00 90.00 90.00°
Space group Fm-3m (No. 225)
Symmetry-distinct sites (fractional):
Mn 0.000 0.000 0.000
Tc 0.000 0.000 0.500
C 0.250 0.250 0.250

ΔE_f in kJ/mol of atoms: 82.1
Total magnetic moment in μB per cell: 0.00

The following is a PBE-GGA calculation of crystalline Mn3TcC at its relaxed geometry, from Alexandria.

Cell: 4.592 4.592 4.592 Å, 90.00 90.00 90.00°
Space group Pm-3m (No. 221)
Symmetry-distinct sites (fractional):
Mn 0.000 0.000 0.500
Tc 0.000 0.000 0.000
C 0.500 0.500 0.500

ΔE_f in kJ/mol of atoms: 228.5
Total magnetic moment in μB per cell: 8.39
Relative energy among the computed polymorphs in eV/atom: 2.3784

The following is a PBE-GGA calculation of crystalline Mn2TcC at its relaxed geometry, from Alexandria.

Cell: 5.545 5.545 5.545 Å, 90.00 90.00 90.00°
Space group Fm-3m (No. 225)
Symmetry-distinct sites (fractional):
Mn 0.250 0.250 0.250
Tc 0.000 0.000 0.000
C 0.000 0.000 0.500

ΔE_f in kJ/mol of atoms: 105.2
Total magnetic moment in μB per cell: 2.65
Relative energy among the computed polymorphs in eV/atom: 1.0921

The following is a PBE-GGA calculation of crystalline Mn2TcC at its relaxed geometry, from Alexandria.

Cell: 2.7751 2.7751 19.6790 Å, 90.00 90.00 120.00°
Space group R-3m (No. 166, hexagonal axes)
Symmetry-distinct sites (fractional):
Mn 0.0000 0.0000 0.2237
Tc 0.0000 0.0000 0.0000
C 0.0000 0.0000 0.5000

ΔE_f in kJ/mol of atoms: 6.4
Total magnetic moment in μB per cell: 9.24
Relative energy among the computed polymorphs in eV/atom: 0.0690

The following is a PBE-GGA calculation of crystalline Mn7TcC2 at its relaxed geometry, from Alexandria.

Cell: 6.267 9.909 3.810 Å, 90.00 90.00 90.00°
Space group Cmmm (No. 65)
Symmetry-distinct sites (fractional):
Mn 0.000 0.000 0.000
Mn 0.000 0.230 0.500
Mn 0.191 0.366 0.000
Tc 0.000 0.500 0.500
C 0.000 0.199 0.000

ΔE_f in kJ/mol of atoms: 25.4
Total magnetic moment in μB per cell: 4.86

The following is a PBE-GGA calculation of crystalline TiMnTc2C at its relaxed geometry, from Alexandria.

Cell: 4.130 4.130 3.782 Å, 90.00 90.00 90.00°
Space group P4/mmm (No. 123)
Symmetry-distinct sites (fractional):
Ti 0.000 0.000 0.000
Mn 0.500 0.500 0.000
Tc 0.000 0.500 0.500
C 0.500 0.500 0.500

ΔE_f in kJ/mol of atoms: -18.2
Total magnetic moment in μB per cell: 2.29

The following is a PBE-GGA calculation of crystalline UMnTcC at its relaxed geometry, from Alexandria.

Cell: 3.888 3.895 4.068 Å, 90.00 90.00 90.00°
Space group Pmmm (No. 47)
Symmetry-distinct sites (fractional):
U 0.000 0.000 0.000
Mn 0.500 0.000 0.500
Tc 0.500 0.500 0.000
C 0.500 0.500 0.500

ΔE_f in kJ/mol of atoms: 25.5
Total magnetic moment in μB per cell: 0.13

Q: What is the total magnetic moment in the fourth record?
A: 2.65 μB per cell

Q: Number 2 is which compound?
A: MnTcC2

Q: Which of these has the lowest ΔE_f?
A: TiMnTc2C

Repeat the eighth record exactly.
The following is a PBE-GGA calculation of crystalline UMnTcC at its relaxed geometry, from Alexandria.

Cell: 3.888 3.895 4.068 Å, 90.00 90.00 90.00°
Space group Pmmm (No. 47)
Symmetry-distinct sites (fractional):
U 0.000 0.000 0.000
Mn 0.500 0.000 0.500
Tc 0.500 0.500 0.000
C 0.500 0.500 0.500

ΔE_f in kJ/mol of atoms: 25.5
Total magnetic moment in μB per cell: 0.13